PBE-GGA ScTlNiCl6, relaxed; E_form (uncorrected) = -1.36 eV per atom; electronic total energy = -37.8 eV/cell; symmetry = P312, No. 149; spin magnetization = 2.011 μB per cell
1.0
-4.0704 -3.6567 3.3448
1.7192 -2.2879 5.7393
-2.6914 5.8760 3.1483
Sc Tl Ni Cl
1 1 1 6
Direct
0.3333 0.3333 0.5000
0.0000 0.0000 0.0000
0.6666 0.6667 0.5000
0.9898 0.3769 0.3050
0.3768 0.9899 0.6950
0.6332 0.3769 0.6950
0.9898 0.6333 0.6950
0.3768 0.6333 0.3050
0.6332 0.9899 0.3050